Density functional theory data (PBE) for Na2SiPb after structural relaxation.

It has space group I-42d (No. 122), with a = 9.325 Å, b = 9.325 Å, c = 5.527 Å, α = 90.00°, β = 90.00° and γ = 90.00°. The inequivalent atoms are Na at (0.173, 0.250, 0.125), Si at (0.000, 0.000, 0.000) and Pb at (0.000, 0.000, 0.500).

For the uncorrected formation energy, the calculation gives 297 meV per atom.